# 1
# Rb3Pm2SmTe6, optimized geometry, DFT PBE
data_Rb3Pm2SmTe6
_chemical_formula_sum 'Rb6 Pm4 Sm2 Te12'
_symmetry_space_group_name_H-M 'C 1 2/m 1'
_symmetry_Int_Tables_number 12
_cell_length_a 7.9954
_cell_length_b 13.8486
_cell_length_c 8.9738
_cell_angle_alpha 90.00
_cell_angle_beta 107.28
_cell_angle_gamma 90.00
loop_
_symmetry_equiv_pos_as_xyz
'x,y,z'
'-x,-y,-z'
'-x,y,-z'
'x,-y,z'
'x+1/2,y+1/2,z'
'-x+1/2,-y+1/2,-z'
'-x+1/2,y+1/2,-z'
'x+1/2,-y+1/2,z'
loop_
_atom_site_label
_atom_site_fract_x
_atom_site_fract_y
_atom_site_fract_z
_atom_site_occupancy
Rb1 0.0000 0.0000 0.0000 1
Rb2 0.0000 0.3332 0.0000 1
Pm1 0.0000 0.1667 0.5000 1
Sm1 0.0000 0.5000 0.5000 1
Te1 0.2340 0.3339 0.7036 1
Te2 0.2356 0.0000 0.7035 1
# * magnetic moment: 0.0 μB/f.u.
# * E_form (uncorrected): -1.41 eV per atom
# * calculated volume: 948.8 Å³/cell



# 2
# Pr5YHo8, optimized geometry, DFT PBE
data_Pr5YHo8
_chemical_formula_sum 'Pr10 Y2 Ho16'
_symmetry_space_group_name_H-M 'I -4'
_symmetry_Int_Tables_number 82
_cell_length_a 9.6636
_cell_length_b 9.6636
_cell_length_c 10.1252
_cell_angle_alpha 90.00
_cell_angle_beta 90.00
_cell_angle_gamma 90.00
loop_
_symmetry_equiv_pos_as_xyz
'x,y,z'
'y,-x,-z'
'-x,-y,z'
'-y,x,-z'
'x+1/2,y+1/2,z+1/2'
'y+1/2,-x+1/2,-z+1/2'
'-x+1/2,-y+1/2,z+1/2'
'-y+1/2,x+1/2,-z+1/2'
loop_
_atom_site_label
_atom_site_fract_x
_atom_site_fract_y
_atom_site_fract_z
_atom_site_occupancy
Pr1 0.0000 0.0000 0.0000 1
Pr2 0.1106 0.7848 0.5802 1
Y1 0.0000 0.5000 0.2500 1
Ho1 0.0714 0.6735 0.9062 1
Ho2 0.0871 0.8248 0.2473 1
# * magnetic moment: 0.0 μB/f.u.
# * density of states at the Fermi level: 1.39 states/eV per atom
# * ΔH_f (0 K): 236 meV per atom
# * calculated volume: 945.5 Å³/cell



# 3
# Nd4Al12Pt, optimized geometry, DFT PBE
data_Nd4Al12Pt
_chemical_formula_sum 'Nd8 Al24 Pt2'
_symmetry_space_group_name_H-M 'I m -3 m'
_symmetry_Int_Tables_number 229
_symmetry_space_group_name_Hall '-I 4 2 3'
_cell_length_a 8.8094
_cell_length_b 8.8094
_cell_length_c 8.8094
_cell_angle_alpha 90.00
_cell_angle_beta 90.00
_cell_angle_gamma 90.00
loop_
_atom_site_label
_atom_site_fract_x
_atom_site_fract_y
_atom_site_fract_z
_atom_site_occupancy
Nd1 0.2500 0.2500 0.2500 1
Al1 0.0000 0.0000 0.2924 1
Al2 0.0000 0.2500 0.5000 1
Pt1 0.0000 0.0000 0.0000 1
# * magnetic moment: 0.0 μB/f.u.
# * density of states at the Fermi level: 0.16 states/eV per atom
# * ΔH_f (0 K): -561 meV per atom
# * calculated volume: 683.7 Å³/cell



# 4
# NaTl2GaPd, optimized geometry, DFT PBE
data_NaTl2GaPd
_chemical_formula_sum 'Na1 Tl2 Ga1 Pd1'
_symmetry_space_group_name_H-M 'P 4/m m m'
_symmetry_Int_Tables_number 123
_symmetry_space_group_name_Hall '-P 4 2'
_cell_length_a 5.4095
_cell_length_b 5.4095
_cell_length_c 4.9114
_cell_angle_alpha 90.00
_cell_angle_beta 90.00
_cell_angle_gamma 90.00
loop_
_atom_site_label
_atom_site_fract_x
_atom_site_fract_y
_atom_site_fract_z
_atom_site_occupancy
Na1 0.0000 0.0000 0.0000 1
Tl1 0.0000 0.5000 0.5000 1
Ga1 0.5000 0.5000 0.0000 1
Pd1 0.5000 0.5000 0.5000 1
# * magnetic moment: 0.0 μB/f.u.
# * density of states at the Fermi level: 0.42 states/eV per atom
# * ΔH_f (0 K): -57 meV per atom
# * calculated volume: 143.7 Å³/cell



# 5
# ErMg2UN4, optimized geometry, DFT PBE
data_ErMg2UN4
_chemical_formula_sum 'Er1 Mg2 U1 N4'
_symmetry_space_group_name_H-M 'P 1 2/m 1'
_symmetry_Int_Tables_number 10
_cell_length_a 5.5438
_cell_length_b 3.4048
_cell_length_c 5.8169
_cell_angle_alpha 90.00
_cell_angle_beta 109.58
_cell_angle_gamma 90.00
loop_
_symmetry_equiv_pos_as_xyz
'x,y,z'
'-x,-y,-z'
'-x,y,-z'
'x,-y,z'
loop_
_atom_site_label
_atom_site_fract_x
_atom_site_fract_y
_atom_site_fract_z
_atom_site_occupancy
Er1 0.0000 0.0000 0.0000 1
Mg1 0.5000 0.0000 0.5000 1
Mg2 0.5000 0.5000 0.0000 1
U1 0.0000 0.5000 0.5000 1
N1 0.2360 0.5000 0.2632 1
N2 0.2448 0.0000 0.7392 1
# * magnetic moment: 1.0 μB/f.u.
# * E_form (uncorrected): -1.23 eV per atom
# * density of states at the Fermi level: 0.37 states/eV per atom
# * calculated volume: 103.4 Å³/cell



# 6
# OsPb2Se, optimized geometry, DFT PBE
data_OsPb2Se
_chemical_formula_sum 'Os2 Pb4 Se2'
_symmetry_space_group_name_H-M 'C m m m'
_symmetry_Int_Tables_number 65
_symmetry_space_group_name_Hall '-C 2 2'
_cell_length_a 6.5115
_cell_length_b 7.9554
_cell_length_c 3.4440
_cell_angle_alpha 90.00
_cell_angle_beta 90.00
_cell_angle_gamma 90.00
loop_
_atom_site_label
_atom_site_fract_x
_atom_site_fract_y
_atom_site_fract_z
_atom_site_occupancy
Os1 0.0000 0.0000 0.0000 1
Pb1 0.2500 0.2500 0.5000 1
Se1 0.0000 0.5000 0.0000 1
# * magnetic moment: 0.0 μB/f.u.
# * E_form (uncorrected): 0.73 eV per atom
# * density of states at the Fermi level: 1.04 states/eV per atom
# * calculated volume: 178.4 Å³/cell



# 7
# NaCePtPb, optimized geometry, DFT PBE
data_NaCePtPb
_chemical_formula_sum 'Na4 Ce4 Pt4 Pb4'
_symmetry_space_group_name_H-M 'F -4 3 m'
_symmetry_Int_Tables_number 216
_symmetry_space_group_name_Hall 'F -4 2 3'
_cell_length_a 7.2877
_cell_length_b 7.2877
_cell_length_c 7.2877
_cell_angle_alpha 90.00
_cell_angle_beta 90.00
_cell_angle_gamma 90.00
loop_
_atom_site_label
_atom_site_fract_x
_atom_site_fract_y
_atom_site_fract_z
_atom_site_occupancy
Na1 0.0000 0.0000 0.0000 1
Ce1 0.0000 0.0000 0.5000 1
Pt1 0.2500 0.2500 0.2500 1
Pb1 0.2500 0.2500 0.7500 1
# * magnetic moment: 0.7 μB/f.u.
# * density of states at the Fermi level: 1.47 states/eV per atom
# * ΔH_f (0 K): -363 meV per atom
# * calculated volume: 387.1 Å³/cell



# 8
# Ge3SbH, optimized geometry, DFT PBE
data_Ge3SbH
_chemical_formula_sum 'Ge3 Sb1 H1'
_symmetry_space_group_name_H-M 'P m -3 m'
_symmetry_Int_Tables_number 221
_symmetry_space_group_name_Hall '-P 4 2 3'
_cell_length_a 5.4590
_cell_length_b 5.4590
_cell_length_c 5.4590
_cell_angle_alpha 90.00
_cell_angle_beta 90.00
_cell_angle_gamma 90.00
loop_
_atom_site_label
_atom_site_fract_x
_atom_site_fract_y
_atom_site_fract_z
_atom_site_occupancy
Ge1 0.0000 0.0000 0.5000 1
Sb1 0.0000 0.0000 0.0000 1
H1 0.5000 0.5000 0.5000 1
# * energy above the lowest structure with this stoichiometry: 89.1 kJ/mol of atoms
# * magnetic moment: 0.6 μB/f.u.
# * density of states at the Fermi level: 0.78 states/eV per atom
# * calculated volume: 162.7 Å³/cell